The following is a DFT calculation (PBE-GGA) of Lu2BH after structural relaxation.

Its density of states at the Fermi level is 3.67 states/eV per cell. For the size of the total moment, the calculation gives 0.3 μB/f.u. As for the space-group type: R-3m, No. 166. The value obtained for the total energy is -19.92 eV per cell.

Cell lengths 5.9269, 5.9269, 5.9269 Å; angles 36.29, 36.29, 36.29 degrees
Last column: nearest neighbours and their distance in Å.
Atoms (fractional coordinates):
Lu: 0.2465 0.2465 0.2465  3 B 2.51, 3 H 2.57
Lu: 0.7535 0.7535 0.7535  3 B 2.51, 3 H 2.57
B: 0.5000 0.5000 0.5000  6 Lu 2.51
H: 0.0000 0.0000 0.0000  6 Lu 2.57